## A
A relaxed MgZn2Pd2 crystal. Source: Alexandria, functional PBE.

Unit cell a=7.2921 b=7.2921 c=2.9638 alpha=90.00 beta=90.00 gamma=90.00
Fractional coordinates of all 10 atoms:
Mg: 0.0000 0.0000 0.0000
Mg: 0.5000 0.5000 0.0000
Zn: 0.1246 0.3754 0.0000
Zn: 0.3754 0.8754 0.0000
Zn: 0.6246 0.1246 0.0000
Zn: 0.8754 0.6246 0.0000
Pd: 0.1732 0.6732 0.5000
Pd: 0.3268 0.1732 0.5000
Pd: 0.6732 0.8268 0.5000
Pd: 0.8268 0.3268 0.5000

Summary:
- total moment (μB/f.u.) = 0.00
- Fermi-level density of states (states/eV/atom) = 0.386



## B
A relaxed MgZn2Pd2 crystal. Source: Alexandria, functional PBE.

Unit cell a=7.3298 b=7.3298 c=2.9785 alpha=90.00 beta=90.00 gamma=90.00
Fractional coordinates of all 10 atoms:
Mg: 0.0000 0.0000 0.0000
Mg: 0.5000 0.5000 0.0000
Zn: 0.1491 0.3509 0.5000
Zn: 0.3509 0.8509 0.5000
Zn: 0.6491 0.1491 0.5000
Zn: 0.8509 0.6491 0.5000
Pd: 0.1480 0.6480 0.0000
Pd: 0.3520 0.1480 0.0000
Pd: 0.6480 0.8520 0.0000
Pd: 0.8520 0.3520 0.0000

Summary:
- total moment (μB/f.u.) = 0.00
- Fermi-level density of states (states/eV/atom) = 0.400



The structure with the greatest stability is A.



## A
A relaxed Mg4ZnPd2 crystal. Source: Alexandria, functional PBE.

Unit cell a=4.6129 b=4.6129 c=6.1038 alpha=90.00 beta=90.00 gamma=90.00
Fractional coordinates of all 7 atoms:
Mg: 0.0000 0.5000 0.2414
Mg: 0.0000 0.5000 0.7586
Mg: 0.5000 0.0000 0.2414
Mg: 0.5000 0.0000 0.7586
Zn: 0.0000 0.0000 0.5000
Pd: 0.0000 0.0000 0.0000
Pd: 0.5000 0.5000 0.5000

Summary:
- total moment (μB/f.u.) = 0.00
- Fermi-level density of states (states/eV/atom) = 0.354



## B
A relaxed Mg4ZnPd2 crystal. Source: Alexandria, functional PBE.

Unit cell a=6.9950 b=6.9950 c=7.0590 alpha=117.18 beta=117.18 gamma=25.07
Fractional coordinates of all 7 atoms:
Mg: 0.1008 0.1008 0.2372
Mg: 0.3620 0.3620 0.1146
Mg: 0.6380 0.6380 0.8854
Mg: 0.8992 0.8992 0.7628
Zn: 0.0000 0.0000 0.5000
Pd: 0.2188 0.2188 0.6687
Pd: 0.7812 0.7812 0.3313

Summary:
- total moment (μB/f.u.) = 0.00
- Fermi-level density of states (states/eV/atom) = 0.435



The structure with the greatest stability is A.



## A
A relaxed Mg8ZnPd2 crystal. Source: Alexandria, functional PBE.

Unit cell a=7.9629 b=7.9629 c=6.7537 alpha=112.80 beta=112.80 gamma=33.12
Fractional coordinates of all 11 atoms:
Mg: 0.0254 0.0254 0.2514
Mg: 0.1829 0.1829 0.7605
Mg: 0.3291 0.3291 0.5706
Mg: 0.3914 0.3914 0.0522
Mg: 0.6086 0.6086 0.9478
Mg: 0.6709 0.6709 0.4294
Mg: 0.8171 0.8171 0.2395
Mg: 0.9746 0.9746 0.7486
Zn: 0.5000 0.5000 0.5000
Pd: 0.1849 0.1849 0.1693
Pd: 0.8151 0.8151 0.8307

Summary:
- total moment (μB/f.u.) = 0.00
- Fermi-level density of states (states/eV/atom) = 0.407



## B
A relaxed Mg8ZnPd2 crystal. Source: Alexandria, functional PBE.

Unit cell a=4.5684 b=6.6552 c=7.9568 alpha=111.74 beta=106.27 gamma=90.56
Fractional coordinates of all 11 atoms:
Mg: 0.0000 0.0000 0.0000
Mg: 0.0428 0.5517 0.0912
Mg: 0.2118 0.0296 0.4279
Mg: 0.3580 0.8388 0.7177
Mg: 0.4224 0.3190 0.8511
Mg: 0.6318 0.1945 0.2652
Mg: 0.6871 0.7038 0.3794
Mg: 0.8395 0.5069 0.6854
Zn: 0.2040 0.4431 0.4116
Pd: 0.5201 0.7629 0.0416
Pd: 0.8380 0.0931 0.6803

Summary:
- total moment (μB/f.u.) = 0.00
- Fermi-level density of states (states/eV/atom) = 0.425



The structure with the greatest stability is A.



## A
A relaxed MgZnPd5 crystal. Source: Alexandria, functional PBE.

Unit cell a=4.2636 b=4.2636 c=6.2798 alpha=90.00 beta=90.00 gamma=90.00
Fractional coordinates of all 7 atoms:
Mg: 0.0000 0.0000 0.0000
Zn: 0.5000 0.5000 0.5000
Pd: 0.0000 0.5000 0.2745
Pd: 0.0000 0.5000 0.7255
Pd: 0.5000 0.0000 0.2745
Pd: 0.5000 0.0000 0.7255
Pd: 0.5000 0.5000 0.0000

Summary:
- total moment (μB/f.u.) = 0.00
- Fermi-level density of states (states/eV/atom) = 0.984



## B
A relaxed MgZnPd5 crystal. Source: Alexandria, functional PBE.

Unit cell a=6.2423 b=6.2423 c=6.7795 alpha=109.15 beta=109.15 gamma=95.67
Fractional coordinates of all 14 atoms:
Mg: 0.1900 0.8100 0.7500
Mg: 0.8100 0.1900 0.2500
Zn: 0.0000 0.5000 0.0000
Zn: 0.5000 0.0000 0.5000
Pd: 0.0811 0.9189 0.2500
Pd: 0.1907 0.3496 0.6454
Pd: 0.2970 0.5852 0.4084
Pd: 0.3496 0.1907 0.1454
Pd: 0.4148 0.7030 0.0916
Pd: 0.5852 0.2970 0.9084
Pd: 0.6504 0.8093 0.8546
Pd: 0.7030 0.4148 0.5916
Pd: 0.8093 0.6504 0.3546
Pd: 0.9189 0.0811 0.7500

Summary:
- total moment (μB/f.u.) = 0.00
- Fermi-level density of states (states/eV/atom) = 0.523



The structure with the greatest stability is A.



## A
A relaxed Mg4ZnPd crystal. Source: Alexandria, functional PBE.

Unit cell a=5.3762 b=5.3762 c=5.3762 alpha=104.15 beta=104.15 gamma=120.74
Fractional coordinates of all 6 atoms:
Mg: 0.0838 0.5838 0.1676
Mg: 0.4162 0.9162 0.8324
Mg: 0.5838 0.4162 0.5000
Mg: 0.9162 0.0838 0.5000
Zn: 0.0000 0.0000 0.0000
Pd: 0.5000 0.5000 0.0000

Summary:
- total moment (μB/f.u.) = 0.00
- Fermi-level density of states (states/eV/atom) = 0.272



## B
A relaxed Mg4ZnPd crystal. Source: Alexandria, functional PBE.

Unit cell a=4.5104 b=4.5104 c=6.4434 alpha=90.00 beta=90.00 gamma=90.00
Fractional coordinates of all 6 atoms:
Mg: 0.0000 0.5000 0.2405
Mg: 0.0000 0.5000 0.7595
Mg: 0.5000 0.0000 0.2405
Mg: 0.5000 0.0000 0.7595
Zn: 0.0000 0.0000 0.5000
Pd: 0.5000 0.5000 0.0000

Summary:
- total moment (μB/f.u.) = 0.00
- Fermi-level density of states (states/eV/atom) = 0.384



The structure with the greatest stability is A.



## A
A relaxed Mg7Zn2Pd2 crystal. Source: Alexandria, functional PBE.

Unit cell a=5.8560 b=5.8560 c=7.3744 alpha=90.00 beta=90.00 gamma=116.18
Fractional coordinates of all 11 atoms:
Mg: 0.0000 0.0000 0.0000
Mg: 0.0000 0.5000 0.2946
Mg: 0.0000 0.5000 0.7054
Mg: 0.5000 0.0000 0.2946
Mg: 0.5000 0.0000 0.7054
Mg: 0.5000 0.5000 0.2040
Mg: 0.5000 0.5000 0.7960
Zn: 0.2026 0.2026 0.5000
Zn: 0.7974 0.7974 0.5000
Pd: 0.2763 0.7237 0.0000
Pd: 0.7237 0.2763 0.0000

Summary:
- total moment (μB/f.u.) = 0.00
- Fermi-level density of states (states/eV/atom) = 0.396



## B
A relaxed Mg7Zn2Pd2 crystal. Source: Alexandria, functional PBE.

Unit cell a=5.4233 b=5.4233 c=7.2944 alpha=100.73 beta=100.73 gamma=96.88
Fractional coordinates of all 11 atoms:
Mg: 0.0000 0.0000 0.0000
Mg: 0.1063 0.4806 0.8197
Mg: 0.1620 0.1620 0.4216
Mg: 0.4806 0.1063 0.8197
Mg: 0.5194 0.8937 0.1803
Mg: 0.8380 0.8380 0.5784
Mg: 0.8937 0.5194 0.1803
Zn: 0.3167 0.6833 0.5000
Zn: 0.6833 0.3167 0.5000
Pd: 0.3815 0.3815 0.1676
Pd: 0.6185 0.6185 0.8324

Summary:
- total moment (μB/f.u.) = 0.00
- Fermi-level density of states (states/eV/atom) = 0.302



The structure with the greatest stability is B.



## A
A relaxed MgZn12Pd6 crystal. Source: Alexandria, functional PBE.

Unit cell a=6.6259 b=6.6259 c=6.6259 alpha=91.31 beta=91.31 gamma=91.31
Fractional coordinates of all 19 atoms:
Mg: 0.0000 0.0000 0.0000
Zn: 0.0438 0.3788 0.1481
Zn: 0.1481 0.0438 0.3788
Zn: 0.1957 0.5696 0.4711
Zn: 0.3788 0.1481 0.0438
Zn: 0.4304 0.5289 0.8043
Zn: 0.4711 0.1957 0.5696
Zn: 0.5289 0.8043 0.4304
Zn: 0.5696 0.4711 0.1957
Zn: 0.6212 0.8519 0.9562
Zn: 0.8043 0.4304 0.5289
Zn: 0.8519 0.9562 0.6212
Zn: 0.9562 0.6212 0.8519
Pd: 0.1228 0.2797 0.7244
Pd: 0.2756 0.8772 0.7203
Pd: 0.2797 0.7244 0.1228
Pd: 0.7203 0.2756 0.8772
Pd: 0.7244 0.1228 0.2797
Pd: 0.8772 0.7203 0.2756

Summary:
- total moment (μB/f.u.) = 0.00
- Fermi-level density of states (states/eV/atom) = 0.312



## B
A relaxed MgZn12Pd6 crystal. Source: Alexandria, functional PBE.

Unit cell a=7.2620 b=7.2620 c=7.2620 alpha=107.34 beta=107.34 gamma=107.34
Fractional coordinates of all 19 atoms:
Mg: 0.0000 0.0000 0.0000
Zn: 0.1117 0.5000 0.8883
Zn: 0.1117 0.8883 0.5000
Zn: 0.1306 0.3636 0.3636
Zn: 0.3636 0.1306 0.3636
Zn: 0.3636 0.3636 0.1306
Zn: 0.5000 0.1117 0.8883
Zn: 0.5000 0.8883 0.1117
Zn: 0.6364 0.6364 0.8694
Zn: 0.6364 0.8694 0.6364
Zn: 0.8694 0.6364 0.6364
Zn: 0.8883 0.1117 0.5000
Zn: 0.8883 0.5000 0.1117
Pd: 0.2837 0.7017 0.7017
Pd: 0.2983 0.2983 0.7163
Pd: 0.2983 0.7163 0.2983
Pd: 0.7017 0.2837 0.7017
Pd: 0.7017 0.7017 0.2837
Pd: 0.7163 0.2983 0.2983

Summary:
- total moment (μB/f.u.) = 0.00
- Fermi-level density of states (states/eV/atom) = 0.307



The structure with the greatest stability is A.



## A
A relaxed Mg6ZnPd2 crystal. Source: Alexandria, functional PBE.

Unit cell a=7.8053 b=7.8053 c=4.4943 alpha=106.58 beta=106.58 gamma=48.18
Fractional coordinates of all 9 atoms:
Mg: 0.0748 0.5842 0.3296
Mg: 0.2406 0.7594 0.0000
Mg: 0.4158 0.9252 0.6704
Mg: 0.5842 0.0748 0.3296
Mg: 0.7594 0.2406 0.0000
Mg: 0.9252 0.4158 0.6704
Zn: 0.5000 0.5000 0.5000
Pd: 0.1669 0.1669 0.1669
Pd: 0.8331 0.8331 0.8331

Summary:
- total moment (μB/f.u.) = 0.00
- Fermi-level density of states (states/eV/atom) = 0.261



## B
A relaxed Mg6ZnPd2 crystal. Source: Alexandria, functional PBE.

Unit cell a=4.6544 b=4.6544 c=8.7186 alpha=90.00 beta=90.00 gamma=120.00
Fractional coordinates of all 9 atoms:
Mg: 0.0000 0.0000 0.1941
Mg: 0.0000 0.0000 0.8059
Mg: 0.3333 0.6667 0.0627
Mg: 0.3333 0.6667 0.4048
Mg: 0.6667 0.3333 0.5952
Mg: 0.6667 0.3333 0.9373
Zn: 0.0000 0.0000 0.5000
Pd: 0.3333 0.6667 0.7453
Pd: 0.6667 0.3333 0.2547

Summary:
- total moment (μB/f.u.) = 0.00
- Fermi-level density of states (states/eV/atom) = 0.214



The structure with the greatest stability is B.



## A
A relaxed Mg3ZnPd crystal. Source: Alexandria, functional PBE.

Unit cell a=4.9965 b=4.9965 c=4.9965 alpha=90.00 beta=90.00 gamma=90.00
Fractional coordinates of all 5 atoms:
Mg: 0.0000 0.0000 0.5000
Mg: 0.0000 0.5000 0.0000
Mg: 0.5000 0.0000 0.0000
Zn: 0.5000 0.5000 0.5000
Pd: 0.0000 0.0000 0.0000

Summary:
- total moment (μB/f.u.) = 0.00
- Fermi-level density of states (states/eV/atom) = 0.373



## B
A relaxed Mg3ZnPd crystal. Source: Alexandria, functional PBE.

Unit cell a=4.8523 b=4.8523 c=4.8523 alpha=90.00 beta=90.00 gamma=90.00
Fractional coordinates of all 5 atoms:
Mg: 0.0000 0.0000 0.5000
Mg: 0.0000 0.5000 0.0000
Mg: 0.5000 0.0000 0.0000
Zn: 0.0000 0.0000 0.0000
Pd: 0.5000 0.5000 0.5000

Summary:
- total moment (μB/f.u.) = 0.00
- Fermi-level density of states (states/eV/atom) = 0.580



## C
A relaxed Mg3ZnPd crystal. Source: Alexandria, functional PBE.

Unit cell a=7.2020 b=7.2020 c=5.7604 alpha=97.00 beta=97.00 gamma=37.29
Fractional coordinates of all 10 atoms:
Mg: 0.0126 0.0126 0.2520
Mg: 0.2074 0.2074 0.6541
Mg: 0.3843 0.3843 0.0270
Mg: 0.6157 0.6157 0.9730
Mg: 0.7926 0.7926 0.3459
Mg: 0.9874 0.9874 0.7480
Zn: 0.4040 0.4040 0.5232
Zn: 0.5960 0.5960 0.4768
Pd: 0.1994 0.1994 0.1509
Pd: 0.8006 0.8006 0.8491

Summary:
- total moment (μB/f.u.) = 0.00
- Fermi-level density of states (states/eV/atom) = 0.337



## D
A relaxed Mg3ZnPd crystal. Source: Alexandria, functional PBE.

Unit cell a=8.6953 b=8.6953 c=5.6684 alpha=90.62 beta=90.62 gamma=69.73
Fractional coordinates of all 20 atoms:
Mg: 0.0401 0.1504 0.3837
Mg: 0.0629 0.4893 0.7602
Mg: 0.1504 0.0401 0.8837
Mg: 0.3366 0.4668 0.3711
Mg: 0.4668 0.3366 0.8711
Mg: 0.4893 0.0629 0.2602
Mg: 0.5107 0.9371 0.7398
Mg: 0.5332 0.6634 0.1289
Mg: 0.6634 0.5332 0.6289
Mg: 0.8496 0.9599 0.1163
Mg: 0.9371 0.5107 0.2398
Mg: 0.9599 0.8496 0.6163
Zn: 0.1938 0.8062 0.2500
Zn: 0.3065 0.6935 0.7500
Zn: 0.6935 0.3065 0.2500
Zn: 0.8062 0.1938 0.7500
Pd: 0.2172 0.2791 0.1035
Pd: 0.2791 0.2172 0.6035
Pd: 0.7209 0.7828 0.3965
Pd: 0.7828 0.7209 0.8965

Summary:
- total moment (μB/f.u.) = 0.00
- Fermi-level density of states (states/eV/atom) = 0.239



The structure with the greatest stability is C.



## A
A relaxed MgZrPd3 crystal. Source: Alexandria, functional PBE.

Unit cell a=4.5789 b=4.5789 c=4.5789 alpha=90.00 beta=90.00 gamma=90.00
Fractional coordinates of all 5 atoms:
Mg: 0.0000 0.0000 0.0000
Zr: 0.5000 0.5000 0.5000
Pd: 0.0000 0.0000 0.5000
Pd: 0.0000 0.5000 0.0000
Pd: 0.5000 0.0000 0.0000

Summary:
- total moment (μB/f.u.) = 0.00
- Fermi-level density of states (states/eV/atom) = 1.279



## B
A relaxed MgZrPd3 crystal. Source: Alexandria, functional PBE.

Unit cell a=4.9201 b=4.9201 c=4.9201 alpha=90.00 beta=90.00 gamma=90.00
Fractional coordinates of all 5 atoms:
Mg: 0.0000 0.0000 0.0000
Zr: 0.5000 0.5000 0.5000
Pd: 0.0000 0.5000 0.5000
Pd: 0.5000 0.0000 0.5000
Pd: 0.5000 0.5000 0.0000

Summary:
- total moment (μB/f.u.) = 0.00
- Fermi-level density of states (states/eV/atom) = 0.449



The structure with the greatest stability is A.